Below is a relaxed structure of Li2SiS, with properties calculated at the PBE-GGA level.

a = 6.2742 Å, b = 6.2742 Å, c = 6.2742 Å
α = 90.00°, β = 90.00°, γ = 90.00°
With the nearest neighbours (Å) after each atom.
Space group Fm-3m (No. 225)
Unique sites:
Li1 0.2500 0.2500 0.2500 [8 per cell]  4 Si 2.72, 4 S 2.72
Si1 0.0000 0.0000 0.0000 [4 per cell]  8 Li 2.72
S1 0.0000 0.0000 0.5000 [4 per cell]  8 Li 2.72

For the total energy, the calculation gives -3.480 eV per atom. The energy relative to the elements, uncorrected comes out at -0.5 eV per formula unit. The crystal system is cubic. The energy above the most stable polymorph in this dataset is 0.694 eV/atom.